VASP calculation (GGA+U) on TaSiWF2 after structural relaxation.

a b c (Å): 3.8647 3.8647 5.6999
angles (deg): 90.00 90.00 90.00
With the nearest neighbours (Å) after each atom.
Atoms (fractional coordinates):
Ta 0.0000 0.0000 0.0000  4 W 2.73, 2 Si 2.85
Si 0.0000 0.0000 0.5000  4 F 1.93
W 0.5000 0.5000 0.0000  4 Ta 2.73
F 0.0000 0.5000 0.5000  2 Si 1.93
F 0.5000 0.0000 0.5000  2 Si 1.93

Calculated total energy = -5.68 eV/atom
Density = 8.40 g/cm³